The following is a PBE calculation of crystalline Rb2InPt at its relaxed geometry, from Alexandria via LeMat-Bulk.

Cell: 9.1930 9.1930 9.1930 Å, 94.57 94.57 147.22°
Atoms (fractional coordinates):
Rb (0.3750, 0.2061, 0.3311)
Rb (0.7939, 0.1250, 0.1689)
Rb (0.8750, 0.0439, 0.6689)
Rb (0.9561, 0.6250, 0.8311)
In (0.2500, 0.7500, 0.5000)
In (0.5000, 0.5000, 0.0000)
Pt (0.0000, 0.0000, 0.0000)
Pt (0.7500, 0.2500, 0.5000)

Output
As for the density of states at the Fermi level: 5.1 states/eV/cell. For the formation enthalpy at 0 K, the calculation gives -100 meV/atom. Its space group is No. 122. Its crystal system is tetragonal. As for the raw total energy: -2.7786 eV per atom.

=====

The following is a PBE calculation of crystalline ZnHgBi3 at its relaxed geometry, from Alexandria via LeMat-Bulk.

Cell: 5.4672 5.4672 5.4672 Å, 90.00 90.00 90.00°
Atoms (fractional coordinates):
Zn (0.0000, 0.0000, 0.0000)
Hg (0.5000, 0.5000, 0.5000)
Bi (0.0000, 0.0000, 0.5000)
Bi (0.0000, 0.5000, 0.0000)
Bi (0.5000, 0.0000, 0.0000)

Output
As for the density of states at the Fermi level: 4.1 states/eV/cell. Its energy above the most stable polymorph in this dataset is 0 meV per atom. For the formation enthalpy at 0 K, the calculation gives 452 meV/atom. Its space group is No. 221. Its crystal system is cubic. As for the raw total energy: -2.1914 eV per atom.

=====

The following is a PBE calculation of crystalline IrOsW2 at its relaxed geometry, from Alexandria via LeMat-Bulk.

Cell: 4.8091 4.8091 4.8226 Å, 99.06 99.06 33.85°
Atoms (fractional coordinates):
Ir (0.0000, 0.0000, 0.0000)
Os (0.2540, 0.2540, 0.7233)
W (0.5071, 0.5071, 0.5067)
W (0.7467, 0.7467, 0.2155)

Output
As for the density of states at the Fermi level: 3.8 states/eV/cell. Its energy above the most stable polymorph in this dataset is 102 meV per atom. For the formation enthalpy at 0 K, the calculation gives -18 meV/atom. Its space group is No. 8. Its crystal system is monoclinic. As for the raw total energy: -11.5174 eV per atom.

=====

The following is a PBE calculation of crystalline Y2AsI3 at its relaxed geometry, from Alexandria via LeMat-Bulk.

Cell: 10.7921 10.7921 14.5388 Å, 130.01 130.01 23.15°
Atoms (fractional coordinates):
Y (0.0870, 0.0870, 0.4726)
Y (0.3661, 0.3661, 0.1816)
Y (0.6339, 0.6339, 0.8184)
Y (0.9130, 0.9130, 0.5274)
As (0.0887, 0.0887, 0.6674)
As (0.9113, 0.9113, 0.3326)
I (0.1713, 0.1713, 0.0163)
I (0.2756, 0.2756, 0.3847)
I (0.4555, 0.4555, 0.7287)
I (0.5445, 0.5445, 0.2713)
I (0.7244, 0.7244, 0.6153)
I (0.8287, 0.8287, 0.9837)

Output
As for the density of states at the Fermi level: 0.0 states/eV/cell. Its space group is No. 12. Its crystal system is monoclinic. As for the raw total energy: -5.0089 eV per atom.

=====

The following is a PBE calculation of crystalline Sr2CaSb at its relaxed geometry, from Alexandria via LeMat-Bulk.

Cell: 8.6109 8.6109 8.6109 Å, 34.88 34.88 34.88°
Atoms (fractional coordinates):
Sr (0.0000, 0.0000, 0.0000)
Sr (0.2114, 0.2114, 0.2114)
Ca (0.4489, 0.4489, 0.4489)
Sb (0.5973, 0.5973, 0.5973)

Output
As for the density of states at the Fermi level: 3.8 states/eV/cell. Its space group is No. 160. Its crystal system is trigonal. As for the raw total energy: -2.8013 eV per atom.

=====

The following is a PBE calculation of crystalline TbCrB2 at its relaxed geometry, from Alexandria via LeMat-Bulk.

Cell: 5.2085 5.2085 5.2085 Å, 39.99 39.99 39.99°
Atoms (fractional coordinates):
Tb (0.0000, 0.0000, 0.0000)
Cr (0.5000, 0.5000, 0.5000)
B (0.2053, 0.2053, 0.2053)
B (0.7947, 0.7947, 0.7947)

Output
As for the density of states at the Fermi level: 2.6 states/eV/cell. For the formation enthalpy at 0 K, the calculation gives -5 meV/atom. Its space group is No. 166. Its crystal system is trigonal. As for the raw total energy: -6.9072 eV per atom.

=====

The following is a PBE calculation of crystalline Sr3Rh2O8 at its relaxed geometry, from Alexandria via LeMat-Bulk.

Cell: 7.6570 7.6570 7.6570 Å, 44.51 44.51 44.51°
Atoms (fractional coordinates):
Sr (0.0000, 0.0000, 0.0000)
Sr (0.2018, 0.2018, 0.2018)
Sr (0.7982, 0.7982, 0.7982)
Rh (0.4055, 0.4055, 0.4055)
Rh (0.5945, 0.5945, 0.5945)
O (0.2141, 0.7394, 0.7394)
O (0.2606, 0.2606, 0.7859)
O (0.2606, 0.7859, 0.2606)
O (0.3168, 0.3168, 0.3168)
O (0.6832, 0.6832, 0.6832)
O (0.7394, 0.2141, 0.7394)
O (0.7394, 0.7394, 0.2141)
O (0.7859, 0.2606, 0.2606)

Output
Its space group is No. 166. Its crystal system is trigonal. As for the raw total energy: -6.0899 eV per atom.

=====

The following is a PBE calculation of crystalline NaCr2ReOs at its relaxed geometry, from Alexandria via LeMat-Bulk.

Cell: 4.4118 4.4118 4.7881 Å, 90.00 90.00 90.00°
Atoms (fractional coordinates):
Na (0.0000, 0.0000, 0.0000)
Cr (0.0000, 0.5000, 0.5000)
Cr (0.5000, 0.0000, 0.5000)
Re (0.0000, 0.0000, 0.5000)
Os (0.5000, 0.5000, 0.0000)

Output
As for the density of states at the Fermi level: 12.6 states/eV/cell. For the formation enthalpy at 0 K, the calculation gives 2375 meV/atom. Its space group is No. 123. Its crystal system is tetragonal. As for the raw total energy: -6.4739 eV per atom.

=====

The following is a PBE calculation of crystalline LaErInPt at its relaxed geometry, from Alexandria via LeMat-Bulk.

Cell: 5.2479 5.2479 5.2479 Å, 60.00 60.00 60.00°
Atoms (fractional coordinates):
La (0.0000, 0.0000, 0.0000)
Er (0.5000, 0.5000, 0.5000)
In (0.7500, 0.7500, 0.7500)
Pt (0.2500, 0.2500, 0.2500)

Output
As for the density of states at the Fermi level: 3.6 states/eV/cell. For the formation enthalpy at 0 K, the calculation gives -688 meV/atom. Its space group is No. 216. Its crystal system is cubic. As for the raw total energy: -5.2559 eV per atom.

=====

The following is a PBE calculation of crystalline Cs2TaTiF6 at its relaxed geometry, from Alexandria via LeMat-Bulk.

Cell: 6.2609 6.2609 6.2609 Å, 60.00 60.00 60.00°
Atoms (fractional coordinates):
Cs (0.2500, 0.2500, 0.2500)
Cs (0.7500, 0.7500, 0.7500)
Ta (0.0000, 0.0000, 0.0000)
Ti (0.5000, 0.5000, 0.5000)
F (0.2491, 0.2491, 0.7509)
F (0.2491, 0.7509, 0.2491)
F (0.2491, 0.7509, 0.7509)
F (0.7509, 0.2491, 0.2491)
F (0.7509, 0.2491, 0.7509)
F (0.7509, 0.7509, 0.2491)

Output
As for the density of states at the Fermi level: 4.8 states/eV/cell. Its space group is No. 225. Its crystal system is cubic. As for the raw total energy: -5.6226 eV per atom.

=====

The following is a PBE calculation of crystalline Tb3HfP2Rh9 at its relaxed geometry, from Alexandria via LeMat-Bulk.

Cell: 5.9972 5.9972 9.1402 Å, 90.00 90.00 120.00°
Atoms (fractional coordinates):
Tb (0.0000, 0.0000, 0.0000)
Tb (0.3333, 0.6667, 0.6649)
Tb (0.6667, 0.3333, 0.3351)
Hf (0.0000, 0.0000, 0.5000)
P (0.3333, 0.6667, 0.1563)
P (0.6667, 0.3333, 0.8437)
Rh (0.0000, 0.5000, 0.0000)
Rh (0.1562, 0.3124, 0.2853)
Rh (0.1562, 0.8438, 0.2853)
Rh (0.3124, 0.1562, 0.7147)
Rh (0.5000, 0.0000, 0.0000)
Rh (0.5000, 0.5000, 0.0000)
Rh (0.6876, 0.8438, 0.2853)
Rh (0.8438, 0.1562, 0.7147)
Rh (0.8438, 0.6876, 0.7147)

Output
As for the density of states at the Fermi level: 6.4 states/eV/cell. For the formation enthalpy at 0 K, the calculation gives -628 meV/atom. Its space group is No. 164. Its crystal system is trigonal. As for the raw total energy: -7.3500 eV per atom.

=====

The following is a PBE calculation of crystalline CrBiP3 at its relaxed geometry, from Alexandria via LeMat-Bulk.

Cell: 4.5794 4.5794 4.5794 Å, 90.00 90.00 90.00°
Atoms (fractional coordinates):
Cr (0.0000, 0.0000, 0.0000)
Bi (0.5000, 0.5000, 0.5000)
P (0.0000, 0.0000, 0.5000)
P (0.0000, 0.5000, 0.0000)
P (0.5000, 0.0000, 0.0000)

Output
As for the density of states at the Fermi level: 4.0 states/eV/cell. Its energy above the most stable polymorph in this dataset is 0 meV per atom. For the formation enthalpy at 0 K, the calculation gives 417 meV/atom. Its space group is No. 221. Its crystal system is cubic. As for the raw total energy: -5.5298 eV per atom.

=====

The following is a PBE calculation of crystalline CaY2Be at its relaxed geometry, from Alexandria via LeMat-Bulk.

Cell: 3.7675 4.7285 6.5821 Å, 90.00 105.31 90.00°
Atoms (fractional coordinates):
Ca (0.0000, 0.0000, 0.0000)
Y (0.3704, 0.5000, 0.7109)
Y (0.6296, 0.5000, 0.2891)
Be (0.0000, 0.0000, 0.5000)

Output
As for the density of states at the Fermi level: 3.4 states/eV/cell. For the formation enthalpy at 0 K, the calculation gives 325 meV/atom. Its space group is No. 10. Its crystal system is monoclinic. As for the raw total energy: -4.3390 eV per atom.

=====

The following is a PBE calculation of crystalline Pm6NdSm2Er3 at its relaxed geometry, from Alexandria via LeMat-Bulk.

Cell: 6.2683 6.2683 11.9270 Å, 95.01 95.01 120.00°
Atoms (fractional coordinates):
Pm (0.0816, 0.4153, 0.2461)
Pm (0.2512, 0.2512, 0.7540)
Pm (0.4153, 0.0816, 0.2461)
Pm (0.5847, 0.9184, 0.7539)
Pm (0.7488, 0.7488, 0.2460)
Pm (0.9184, 0.5847, 0.7539)
Nd (0.5000, 0.5000, 0.5000)
Sm (0.1666, 0.8334, 0.5000)
Sm (0.8334, 0.1666, 0.5000)
Er (0.0000, 0.0000, 0.0000)
Er (0.3331, 0.6669, 0.0000)
Er (0.6669, 0.3331, 0.0000)

Output
As for the density of states at the Fermi level: 15.4 states/eV/cell. For the formation enthalpy at 0 K, the calculation gives 16 meV/atom. Its space group is No. 12. Its crystal system is monoclinic. As for the raw total energy: -4.6843 eV per atom.

=====

The following is a PBE calculation of crystalline Dy5NiPb3 at its relaxed geometry, from Alexandria via LeMat-Bulk.

Cell: 9.1883 9.1883 6.6943 Å, 90.00 90.00 120.00°
Atoms (fractional coordinates):
Dy (0.0000, 0.2386, 0.2500)
Dy (0.0000, 0.7614, 0.7500)
Dy (0.2386, 0.0000, 0.2500)
Dy (0.2386, 0.2386, 0.7500)
Dy (0.3333, 0.6667, 0.0000)
Dy (0.3333, 0.6667, 0.5000)
Dy (0.6667, 0.3333, 0.0000)
Dy (0.6667, 0.3333, 0.5000)
Dy (0.7614, 0.0000, 0.7500)
Dy (0.7614, 0.7614, 0.2500)
Ni (0.0000, 0.0000, 0.0000)
Ni (0.0000, 0.0000, 0.5000)
Pb (0.0000, 0.3990, 0.7500)
Pb (0.0000, 0.6010, 0.2500)
Pb (0.3990, 0.0000, 0.7500)
Pb (0.3990, 0.3990, 0.2500)
Pb (0.6010, 0.0000, 0.2500)
Pb (0.6010, 0.6010, 0.7500)

Output
As for the density of states at the Fermi level: 10.0 states/eV/cell. For the formation enthalpy at 0 K, the calculation gives -530 meV/atom. Its space group is No. 193. Its crystal system is hexagonal. As for the raw total energy: -4.9648 eV per atom.

=====

The following is a PBE calculation of crystalline TaAl2Tc2 at its relaxed geometry, from Alexandria via LeMat-Bulk.

Cell: 6.9950 6.9950 3.1011 Å, 90.00 90.00 90.00°
Atoms (fractional coordinates):
Ta (0.0000, 0.0000, 0.0000)
Ta (0.5000, 0.5000, 0.0000)
Al (0.1274, 0.3726, 0.0000)
Al (0.3726, 0.8726, 0.0000)
Al (0.6274, 0.1274, 0.0000)
Al (0.8726, 0.6274, 0.0000)
Tc (0.1714, 0.6714, 0.5000)
Tc (0.3286, 0.1714, 0.5000)
Tc (0.6714, 0.8286, 0.5000)
Tc (0.8286, 0.3286, 0.5000)

Output
As for the density of states at the Fermi level: 6.3 states/eV/cell. Its energy above the most stable polymorph in this dataset is 0 meV per atom. For the formation enthalpy at 0 K, the calculation gives -236 meV/atom. Its space group is No. 127. Its crystal system is tetragonal. As for the raw total energy: -8.2495 eV per atom.

=====

The following is a PBE calculation of crystalline CaTl3As2O6 at its relaxed geometry, from Alexandria via LeMat-Bulk.

Cell: 6.1276 6.1276 7.0062 Å, 90.00 90.00 120.00°
Atoms (fractional coordinates):
Ca (0.0000, 0.0000, 0.0000)
Tl (0.0000, 0.0000, 0.5000)
Tl (0.3333, 0.6667, 0.1704)
Tl (0.6667, 0.3333, 0.8296)
As (0.3333, 0.6667, 0.6987)
As (0.6667, 0.3333, 0.3013)
O (0.1831, 0.3662, 0.8082)
O (0.1831, 0.8169, 0.8082)
O (0.3662, 0.1831, 0.1918)
O (0.6338, 0.8169, 0.8082)
O (0.8169, 0.1831, 0.1918)
O (0.8169, 0.6338, 0.1918)

Output
As for the density of states at the Fermi level: 5.9 states/eV/cell. Its space group is No. 164. Its crystal system is trigonal. As for the raw total energy: -5.3416 eV per atom.

=====

The following is a PBE calculation of crystalline KGeSb at its relaxed geometry, from Alexandria via LeMat-Bulk.

Cell: 4.2043 4.2043 6.4516 Å, 90.00 90.00 120.00°
Atoms (fractional coordinates):
K (0.0000, 0.0000, 0.0000)
Ge (0.6667, 0.3333, 0.3761)
Sb (0.3333, 0.6667, 0.5808)

Output
As for the density of states at the Fermi level: 0.0 states/eV/cell. Its space group is No. 156. Its crystal system is trigonal. As for the raw total energy: -3.5419 eV per atom.

=====

The following is a PBE calculation of crystalline Hf2Ni3 at its relaxed geometry, from Alexandria via LeMat-Bulk.

Cell: 5.6253 5.6253 5.6253 Å, 43.32 43.32 43.32°
Atoms (fractional coordinates):
Hf (0.0954, 0.0954, 0.0954)
Hf (0.9046, 0.9046, 0.9046)
Ni (0.3270, 0.3270, 0.3270)
Ni (0.5000, 0.5000, 0.5000)
Ni (0.6730, 0.6730, 0.6730)

Output
As for the density of states at the Fermi level: 4.3 states/eV/cell. For the formation enthalpy at 0 K, the calculation gives -301 meV/atom. Its space group is No. 166. Its crystal system is trigonal. As for the raw total energy: -7.7510 eV per atom.

=====

The following is a PBE calculation of crystalline InCoPb2Se at its relaxed geometry, from Alexandria via LeMat-Bulk.

Cell: 5.7501 5.7501 4.8209 Å, 90.00 90.00 90.00°
Atoms (fractional coordinates):
In (0.0000, 0.0000, 0.0000)
Co (0.0000, 0.0000, 0.5000)
Pb (0.0000, 0.5000, 0.0000)
Pb (0.5000, 0.0000, 0.0000)
Se (0.5000, 0.5000, 0.5000)

Output
As for the density of states at the Fermi level: 3.5 states/eV/cell. Its space group is No. 123. Its crystal system is tetragonal. As for the raw total energy: -3.3574 eV per atom.